[1]
Computed, not measured: crystalline CsTmNiTe3 at its relaxed geometry at the GGA-PBE level of DFT.

```
data_CsTmNiTe3
_chemical_formula_sum 'Cs2 Tm2 Ni2 Te6'
_cell_length_a 10.051
_cell_length_b 4.312
_cell_length_c 10.723
_cell_angle_alpha 90.00
_cell_angle_beta 114.09
_cell_angle_gamma 90.00
_space_group_name_H-M_alt 'P 1'
_space_group_IT_number 1
loop_
_space_group_symop_operation_xyz
'x,y,z'
loop_
_atom_site_label
_atom_site_fract_x
_atom_site_fract_y
_atom_site_fract_z
_atom_site_occupancy
Cs1 0.221 0.250 0.262 1
Cs2 0.779 0.750 0.738 1
Ni1 0.902 0.750 0.375 1
Ni2 0.098 0.250 0.625 1
Te1 0.883 0.750 0.133 1
Te2 0.477 0.750 0.169 1
Te3 0.833 0.250 0.456 1
Te4 0.167 0.750 0.544 1
Te5 0.523 0.250 0.831 1
Te6 0.117 0.250 0.867 1
Tm1 0.676 0.250 0.138 1
Tm2 0.324 0.750 0.862 1
```

Calculated values
* SG: P2_1/m (11)
* final energy: -4.296 eV per atom
* M_tot: 0.002 μB/atom

---

[2]
Computed, not measured: crystalline GdTlCoS3 at its relaxed geometry at the GGA-PBE level of DFT.

```
data_GdTlCoS3
_chemical_formula_sum 'Gd4 Tl4 Co4 S12'
_cell_length_a 10.562
_cell_length_b 3.927
_cell_length_c 14.279
_cell_angle_alpha 90.00
_cell_angle_beta 90.00
_cell_angle_gamma 90.00
_space_group_name_H-M_alt 'P 1'
_space_group_IT_number 1
loop_
_space_group_symop_operation_xyz
'x,y,z'
loop_
_atom_site_label
_atom_site_fract_x
_atom_site_fract_y
_atom_site_fract_z
_atom_site_occupancy
Co1 0.738 0.750 0.218 1
Co2 0.238 0.750 0.282 1
Co3 0.762 0.250 0.718 1
Co4 0.262 0.250 0.782 1
Gd1 0.989 0.250 0.243 1
Gd2 0.489 0.250 0.257 1
Gd3 0.511 0.750 0.743 1
Gd4 0.011 0.750 0.757 1
S1 0.909 0.750 0.123 1
S2 0.559 0.750 0.132 1
S3 0.241 0.250 0.193 1
S4 0.741 0.250 0.307 1
S5 0.059 0.750 0.368 1
S6 0.409 0.750 0.377 1
S7 0.591 0.250 0.623 1
S8 0.941 0.250 0.632 1
S9 0.259 0.750 0.693 1
S10 0.759 0.750 0.807 1
S11 0.441 0.250 0.868 1
S12 0.091 0.250 0.877 1
Tl1 0.273 0.750 0.004 1
Tl2 0.773 0.750 0.496 1
Tl3 0.227 0.250 0.504 1
Tl4 0.727 0.250 0.996 1
```

Calculated values
* SG: Pnma (62)
* final energy: -5.420 eV per atom
* M_tot: 0.500 μB/atom

---

[3]
Computed, not measured: crystalline Pr2GdSn3Pd2Pt at its relaxed geometry at the GGA-PBE level of DFT.

```
data_Pr2GdSn3Pd2Pt
_chemical_formula_sum 'Pr2 Gd1 Sn3 Pd2 Pt1'
_cell_length_a 4.126
_cell_length_b 7.649
_cell_length_c 7.649
_cell_angle_alpha 119.96
_cell_angle_beta 90.00
_cell_angle_gamma 90.00
_space_group_name_H-M_alt 'P 1'
_space_group_IT_number 1
loop_
_space_group_symop_operation_xyz
'x,y,z'
loop_
_atom_site_label
_atom_site_fract_x
_atom_site_fract_y
_atom_site_fract_z
_atom_site_occupancy
Gd1 0.000 0.593 0.593 1
Pd1 0.500 0.664 0.339 1
Pd2 0.500 0.339 0.664 1
Pr1 0.000 0.410 0.001 1
Pr2 0.000 0.001 0.410 1
Pt1 0.000 0.996 0.996 1
Sn1 0.500 0.254 0.254 1
Sn2 0.500 0.998 0.746 1
Sn3 0.500 0.746 0.998 1
```

Calculated values
* SG: Amm2 (38)
* final energy: -5.692 eV per atom
* M_tot: 0.000 μB/atom

---

> Which formula does entry 3 have?

Pr2GdSn3Pd2Pt